a) The following is a PBE calculation of NdSm2Ho5 after structural relaxation, from Alexandria.

Properties
M_tot: 0.00 μB/atom
Density of states at the Fermi level: 20.57 states/eV/cell

Cell: 7.1420 14.2939 5.0399 Å, 90.00 90.00 90.00°
Last column: nearest neighbours and their distance in Å.
Space group Pbam (No. 55)
One atom of each set of equivalent atoms:
Nd  0.0000  0.0000  0.0000 [2 per cell]  8 Ho 3.57-3.59, 4 Sm 3.58
Sm  0.2485  0.3742  0.5000 [4 per cell]  10 Ho 3.55-3.60, 2 Nd 3.58
Ho  0.0000  0.5000  0.0000 [2 per cell]  6 Ho 3.56-3.57, 4 Sm 3.57, 2 Nd 3.57
Ho  0.0010  0.7490  0.0000 [4 per cell]  4 Sm 3.55-3.57, 7 Ho 3.55-3.57, 1 Nd 3.59
Ho  0.2496  0.1257  0.5000 [4 per cell]  4 Sm 3.55-3.60, 6 Ho 3.55-3.57, 2 Nd 3.57

***

b) The following is a PBE calculation of NdSm2Ho5 after structural relaxation, from Alexandria.

Properties
M_tot: 0.00 μB/atom
Density of states at the Fermi level: 48.40 states/eV/cell

Cell: 16.3534 9.8965 6.4747 Å, 90.00 97.76 90.00°
Last column: nearest neighbours and their distance in Å.
Space group C2/c (No. 15)
One atom of each set of equivalent atoms:
Nd  0.2500  0.2500  0.0000 [4 per cell]  2 Sm 3.03
Sm  0.0765  0.2462  0.1141 [8 per cell]  1 Nd 3.03, 2 Ho 3.18-3.35, 1 Sm 3.25
Ho  0.0000  0.4436  0.7500 [4 per cell]  4 Sm 3.18-3.47, 2 Ho 3.42
Ho  0.0988  0.0903  0.6415 [8 per cell]  4 Sm 3.35-3.72, 1 Nd 3.53, 5 Ho 3.65-3.70
Ho  0.1958  0.4104  0.5200 [8 per cell]  1 Sm 3.46, 2 Nd 3.48-3.50, 7 Ho 3.65-3.73

***

Bottom line: a), by a margin of 155 meV/atom.

***

a) The following is a PBE calculation of Nd4SmHo after structural relaxation, from Alexandria.

Properties
M_tot: 0.00 μB/atom
Density of states at the Fermi level: 23.29 states/eV/cell

Cell: 11.8673 3.4893 11.6620 Å, 90.00 119.52 90.00°
Last column: nearest neighbours and their distance in Å.
Space group C2/m (No. 12)
One atom of each set of equivalent atoms:
Nd  0.1874  0.0000  0.3427 [4 per cell]  1 Ho 3.49, 7 Nd 3.49-3.90, 3 Sm 3.51-3.67
Nd  0.1899  0.0000  0.8456 [4 per cell]  7 Nd 3.49-3.90, 3 Ho 3.51-3.65, 1 Sm 3.52
Sm  0.0000  0.0000  0.5000 [2 per cell]  2 Sm 3.49, 8 Nd 3.51-3.67
Ho  0.0000  0.0000  0.0000 [2 per cell]  8 Nd 3.49-3.65, 2 Ho 3.49

***

b) The following is a PBE calculation of Nd4SmHo after structural relaxation, from Alexandria.

Properties
M_tot: 0.00 μB/atom
Density of states at the Fermi level: 41.64 states/eV/cell

Cell: 9.4786 9.4786 9.4786 Å, 90.00 90.00 90.00°
Last column: nearest neighbours and their distance in Å.
Space group F-43m (No. 216)
One atom of each set of equivalent atoms:
Nd  0.1255  0.1255  0.1255 [16 per cell]  6 Nd 3.34-3.36
Sm  0.2500  0.2500  0.7500 [4 per cell]  12 Nd 3.93, 4 Ho 4.10
Ho  0.0000  0.0000  0.5000 [4 per cell]  12 Nd 3.93, 4 Sm 4.10

***

Bottom line: a), by a margin of 83 meV/atom.

***

a) The following is a PBE calculation of Nd2Sm4Ho5 after structural relaxation, from Alexandria.

Properties
M_tot: 0.00 μB/atom
Density of states at the Fermi level: 27.12 states/eV/cell

Cell: 3.5306 11.5609 18.3749 Å, 90.00 90.00 90.00°
Last column: nearest neighbours and their distance in Å.
Space group Immm (No. 71)
One atom of each set of equivalent atoms:
Nd  0.0000  0.0000  0.2020 [4 per cell]  6 Ho 3.40-3.69, 2 Nd 3.53
Sm  0.0000  0.0000  0.4093 [4 per cell]  7 Sm 3.33-3.63, 4 Ho 3.40
Sm  0.0000  0.2661  0.0000 [4 per cell]  4 Ho 3.32-3.55, 6 Sm 3.53-3.63
Ho  0.0000  0.2917  0.1798 [8 per cell]  4 Ho 3.27-3.53, 3 Sm 3.32-3.40, 1 Nd 3.40
Ho  0.0000  0.5000  0.5000 [2 per cell]  2 Ho 3.53, 4 Sm 3.55

***

b) The following is a PBE calculation of Nd2Sm4Ho5 after structural relaxation, from Alexandria.

Properties
M_tot: 0.00 μB/atom
Density of states at the Fermi level: 40.15 states/eV/cell

Cell: 24.0298 3.4740 8.7888 Å, 90.00 96.61 90.00°
Last column: nearest neighbours and their distance in Å.
Space group C2/m (No. 12)
One atom of each set of equivalent atoms:
Nd  0.0904  0.0000  0.2412 [4 per cell]  2 Sm 3.29-3.41, 2 Ho 3.40-3.42, 2 Nd 3.47
Sm  0.0459  0.0000  0.8584 [4 per cell]  2 Nd 3.29-3.41, 3 Ho 3.30-3.65, 5 Sm 3.47-3.67
Sm  0.1788  0.5000  0.9715 [4 per cell]  6 Sm 3.47-3.82, 5 Ho 3.57-3.69, 2 Nd 3.78
Ho  0.0000  0.5000  0.5000 [2 per cell]  6 Ho 3.47-3.86, 4 Sm 3.65, 4 Nd 3.75
Ho  0.1421  0.0000  0.6181 [4 per cell]  3 Sm 3.30-3.58, 1 Nd 3.40, 5 Ho 3.46-3.54
Ho  0.2327  0.0000  0.3283 [4 per cell]  1 Nd 3.42, 7 Ho 3.46-3.54, 3 Sm 3.57-3.69

***

Bottom line: b), by a margin of 63 meV/atom.

***

a) The following is a PBE calculation of Nd12Sm5Ho2 after structural relaxation, from Alexandria.

Properties
M_tot: 0.00 μB/atom
Density of states at the Fermi level: 53.62 states/eV/cell

Cell: 15.5429 10.6206 8.0754 Å, 90.00 92.98 90.00°
Last column: nearest neighbours and their distance in Å.
Space group C2/m (No. 12)
One atom of each set of equivalent atoms:
Nd  0.0521  0.0000  0.2102 [4 per cell]  3 Sm 3.37-3.69, 7 Nd 3.49-3.68, 2 Ho 3.55
Nd  0.1061  0.2252  0.8874 [8 per cell]  1 Ho 3.46, 4 Sm 3.48-3.67, 6 Nd 3.49-3.85
Nd  0.1346  0.5000  0.6066 [4 per cell]  2 Sm 3.39-3.70, 2 Ho 3.57, 4 Nd 3.62-3.74
Nd  0.1875  0.2727  0.2933 [8 per cell]  1 Ho 3.45, 5 Nd 3.49-3.80, 4 Sm 3.54-3.84
Sm  0.0000  0.5000  0.0000 [2 per cell]  6 Nd 3.50-3.89, 2 Sm 3.79
Sm  0.1551  0.0000  0.5876 [4 per cell]  7 Nd 3.37-3.70, 2 Ho 3.53, 1 Sm 3.74
Sm  0.2429  0.5000  0.9820 [4 per cell]  8 Nd 3.39-3.67, 2 Sm 3.74-3.79
Ho  0.0000  0.2364  0.5000 [4 per cell]  8 Nd 3.45-3.57, 2 Sm 3.53

***

b) The following is a PBE calculation of Nd12Sm5Ho2 after structural relaxation, from Alexandria.

Properties
M_tot: 0.00 μB/atom
Density of states at the Fermi level: 61.49 states/eV/cell

Cell: 19.1910 7.5214 10.1774 Å, 90.00 115.28 90.00°
Last column: nearest neighbours and their distance in Å.
Space group C2/m (No. 12)
One atom of each set of equivalent atoms:
Nd  0.0069  0.0000  0.3250 [4 per cell]  5 Nd 3.40-3.68, 2 Ho 3.59
Nd  0.0093  0.5000  0.2172 [4 per cell]  1 Sm 2.96, 2 Ho 3.09
Nd  0.1596  0.2506  0.8520 [8 per cell]  6 Nd 3.48-3.77, 4 Sm 3.66-3.88
Nd  0.1655  0.2577  0.5015 [8 per cell]  5 Nd 3.26-3.65
Sm  0.0000  0.5000  0.5000 [2 per cell]  2 Nd 2.96
Sm  0.1767  0.5000  0.1729 [4 per cell]  5 Nd 3.43-3.76, 2 Sm 3.77, 2 Ho 3.81
Sm  0.1780  0.0000  0.1986 [4 per cell]  2 Ho 3.49, 8 Nd 3.72-3.88, 2 Sm 3.77
Ho  0.0000  0.2028  0.0000 [4 per cell]  1 Ho 3.05, 2 Nd 3.09

***

Bottom line: a), by a margin of 44 meV/atom.

***

a) The following is a PBE calculation of Nd2Sm5Ho2 after structural relaxation, from Alexandria.

Properties
M_tot: 0.00 μB/atom
Density of states at the Fermi level: 35.58 states/eV/cell

Cell: 12.5954 6.0049 9.7568 Å, 90.00 125.24 90.00°
Last column: nearest neighbours and their distance in Å.
Space group C2/m (No. 12)
One atom of each set of equivalent atoms:
Nd  0.0468  0.0000  0.2142 [4 per cell]  2 Ho 3.48-3.74, 7 Sm 3.51-3.61, 1 Nd 3.63
Sm  0.0000  0.5000  0.0000 [2 per cell]  4 Nd 3.51, 4 Sm 3.52-3.75, 2 Ho 3.55
Sm  0.1186  0.5000  0.4520 [4 per cell]  3 Ho 3.50-3.51, 4 Sm 3.52-3.75, 3 Nd 3.54-3.58
Sm  0.2146  0.5000  0.8793 [4 per cell]  3 Ho 3.50-3.78, 5 Sm 3.52-3.61, 2 Nd 3.52-3.61
Ho  0.1647  0.0000  0.6651 [4 per cell]  2 Nd 3.48-3.74, 1 Ho 3.49, 7 Sm 3.50-3.78

***

b) The following is a PBE calculation of Nd2Sm5Ho2 after structural relaxation, from Alexandria.

Properties
M_tot: 0.00 μB/atom
Density of states at the Fermi level: 54.48 states/eV/cell

Cell: 14.9819 11.9358 6.8265 Å, 90.00 90.00 90.00°
Last column: nearest neighbours and their distance in Å.
Space group Ima2 (No. 46)
One atom of each set of equivalent atoms:
Nd  0.1265  0.0026  0.0000 [8 per cell]  4 Sm 3.36-3.61, 2 Ho 3.64-3.72, 1 Nd 3.70
Sm  0.0525  0.7493  0.3512 [8 per cell]  4 Sm 3.17-3.41, 1 Ho 3.33, 1 Nd 3.36
Sm  0.1432  0.2347  0.6786 [8 per cell]  4 Sm 3.17-3.43, 2 Nd 3.37-3.54, 1 Ho 3.48
Sm  0.2500  0.7425  0.6506 [4 per cell]  6 Sm 3.26-3.60, 1 Ho 3.44, 2 Nd 3.61
Ho  0.0000  0.0000  0.5310 [4 per cell]  4 Sm 3.33-3.67, 2 Nd 3.72
Ho  0.2500  0.0087  0.4588 [4 per cell]  4 Sm 3.44-3.66, 2 Nd 3.64, 2 Ho 3.78

***

Bottom line: a), by a margin of 91 meV/atom.

***

a) The following is a PBE calculation of NdSm2Ho after structural relaxation, from Alexandria.

Properties
M_tot: 0.00 μB/atom
Density of states at the Fermi level: 8.97 states/eV/cell

Cell: 4.2619 4.2619 7.3898 Å, 90.00 90.00 90.00°
Last column: nearest neighbours and their distance in Å.
Space group P4/mmm (No. 123)
One atom of each set of equivalent atoms:
Nd  0.0000  0.0000  0.0000 [1 per cell]  8 Sm 3.56, 2 Ho 3.69
Sm  0.5000  0.5000  0.2556 [2 per cell]  4 Ho 3.51, 4 Nd 3.56, 2 Sm 3.61-3.78
Ho  0.0000  0.0000  0.5000 [1 per cell]  8 Sm 3.51, 2 Nd 3.69

***

b) The following is a PBE calculation of NdSm2Ho after structural relaxation, from Alexandria.

Properties
M_tot: 0.00 μB/atom
Density of states at the Fermi level: 6.44 states/eV/cell

Cell: 5.1068 5.1068 5.1185 Å, 90.00 90.00 90.00°
Last column: nearest neighbours and their distance in Å.
Space group P4/mmm (No. 123)
One atom of each set of equivalent atoms:
Nd  0.0000  0.0000  0.0000 [1 per cell]  4 Ho 3.61, 8 Sm 3.62
Sm  0.0000  0.5000  0.5000 [2 per cell]  4 Sm 3.61, 4 Ho 3.62, 4 Nd 3.62
Ho  0.5000  0.5000  0.0000 [1 per cell]  4 Nd 3.61, 8 Sm 3.62

***

c) The following is a PBE calculation of NdSm2Ho after structural relaxation, from Alexandria.

Properties
M_tot: 0.00 μB/atom
Density of states at the Fermi level: 12.02 states/eV/cell

Cell: 5.6212 3.5725 13.3597 Å, 90.00 90.00 90.00°
Last column: nearest neighbours and their distance in Å.
Space group Amm2 (No. 38)
One atom of each set of equivalent atoms:
Nd  0.0000  0.0000  0.0000 [2 per cell]  7 Sm 3.43-3.71, 2 Nd 3.57
Sm  0.0000  0.0000  0.2567 [2 per cell]  4 Sm 3.27-3.57, 1 Nd 3.43, 4 Ho 3.65
Sm  0.5000  0.0000  0.3824 [2 per cell]  4 Sm 3.27-3.57, 3 Ho 3.50-3.65
Ho  0.5000  0.0000  0.6444 [2 per cell]  7 Sm 3.50-3.65, 2 Ho 3.57, 4 Nd 3.85

***

d) The following is a PBE calculation of NdSm2Ho after structural relaxation, from Alexandria.

Properties
M_tot: 0.00 μB/atom
Density of states at the Fermi level: 43.57 states/eV/cell

Cell: 8.1424 8.1424 8.1424 Å, 90.00 90.00 90.00°
Last column: nearest neighbours and their distance in Å.
Space group Fm-3m (No. 225)
One atom of each set of equivalent atoms:
Nd  0.0000  0.0000  0.0000 [4 per cell]  8 Sm 3.53
Sm  0.2500  0.2500  0.2500 [8 per cell]  4 Ho 3.53, 4 Nd 3.53
Ho  0.0000  0.0000  0.5000 [4 per cell]  8 Sm 3.53

***

Bottom line: b), by a margin of 32 meV/atom.